# GGA-PBE SrZn2Pt, optimized geometry
data_SrZn2Pt
_chemical_formula_sum 'Sr1 Zn2 Pt1'
_cell_length_a 5.857
_cell_length_b 5.857
_cell_length_c 4.142
_cell_angle_alpha 70.42
_cell_angle_beta 70.42
_cell_angle_gamma 120.30
_symmetry_space_group_name_H-M 'P 1'
_symmetry_Int_Tables_number 1
_symmetry_space_group_name_Hall 'P 1'
loop_
_atom_site_label
_atom_site_type_symbol
_atom_site_fract_x
_atom_site_fract_y
_atom_site_fract_z
_atom_site_occupancy
Zn1 Zn 0.000 0.000 0.000 1
Sr1 Sr 0.000 0.500 0.500 1
Zn2 Zn 0.500 0.500 0.000 1
Pt1 Pt 0.500 0.000 0.500 1
# - magnetic moment (μB per formula unit) = 0.0
# - calculated volume (Å³ per atom) = 22.673
# - energy (Ha/atom) = -0.0969

---

# GGA-PBE Cr2TeRh, optimized geometry
data_Cr2TeRh
_chemical_formula_sum 'Cr2 Te1 Rh1'
_cell_length_a 4.738
_cell_length_b 4.738
_cell_length_c 4.738
_cell_angle_alpha 131.04
_cell_angle_beta 131.04
_cell_angle_gamma 71.74
_symmetry_space_group_name_H-M 'P 1'
_symmetry_Int_Tables_number 1
_symmetry_space_group_name_Hall 'P 1'
loop_
_atom_site_label
_atom_site_type_symbol
_atom_site_fract_x
_atom_site_fract_y
_atom_site_fract_z
_atom_site_occupancy
Cr1 Cr 0.000 0.000 0.000 1
Rh1 Rh 0.500 0.500 0.000 1
Te1 Te 0.750 0.250 0.500 1
Cr2 Cr 0.250 0.750 0.500 1
# - formation energy from raw total energies (eV/f.u.) = 1.013
# - magnetic moment (μB per formula unit) = 2.9
# - calculated volume (Å³ per atom) = 14.793
# - energy (Ha/atom) = -0.2639

---

# GGA-PBE ZrTlIn2F8, optimized geometry
data_ZrTlIn2F8
_chemical_formula_sum 'Zr1 Tl1 In2 F8'
_cell_length_a 5.395
_cell_length_b 5.966
_cell_length_c 7.185
_cell_angle_alpha 93.19
_cell_angle_beta 87.37
_cell_angle_gamma 87.63
_symmetry_space_group_name_H-M 'P 1'
_symmetry_Int_Tables_number 1
_symmetry_space_group_name_Hall 'P 1'
loop_
_atom_site_label
_atom_site_type_symbol
_atom_site_fract_x
_atom_site_fract_y
_atom_site_fract_z
_atom_site_occupancy
In1 In 0.514 0.515 0.237 1
In2 In 0.486 0.485 0.763 1
F1 F 0.627 0.675 0.506 1
F2 F 0.856 0.749 0.147 1
Zr1 Zr 0.000 0.000 0.000 1
F3 F 0.700 0.028 0.843 1
F4 F 0.157 0.761 0.804 1
F5 F 0.300 0.972 0.157 1
F6 F 0.843 0.239 0.196 1
F7 F 0.144 0.251 0.853 1
F8 F 0.373 0.325 0.494 1
Tl1 Tl 0.000 0.000 0.500 1
# - formation energy from raw total energies (eV/f.u.) = -31.399
# - magnetic moment (μB per formula unit) = 0.0
# - calculated volume (Å³ per atom) = 19.202
# - energy (Ha/atom) = -0.1922

---

# GGA-PBE Al2GeSb, optimized geometry
data_Al2GeSb
_chemical_formula_sum 'Al2 Ge1 Sb1'
_cell_length_a 4.866
_cell_length_b 4.866
_cell_length_c 4.866
_cell_angle_alpha 60.00
_cell_angle_beta 60.00
_cell_angle_gamma 60.00
_symmetry_space_group_name_H-M 'P 1'
_symmetry_Int_Tables_number 1
_symmetry_space_group_name_Hall 'P 1'
loop_
_atom_site_label
_atom_site_type_symbol
_atom_site_fract_x
_atom_site_fract_y
_atom_site_fract_z
_atom_site_occupancy
Al1 Al 0.250 0.250 0.250 1
Ge1 Ge 0.000 0.000 0.000 1
Al2 Al 0.750 0.750 0.750 1
Sb1 Sb 0.500 0.500 0.500 1
# - formation energy from raw total energies (eV/f.u.) = 0.961
# - magnetic moment (μB per formula unit) = 0.0
# - calculated volume (Å³ per atom) = 20.370
# - energy (Ha/atom) = -0.1402

---

# GGA-PBE Ba2In3Pd, optimized geometry
data_Ba2In3Pd
_chemical_formula_sum 'Ba2 In3 Pd1'
_cell_length_a 4.900
_cell_length_b 5.940
_cell_length_c 7.990
_cell_angle_alpha 111.82
_cell_angle_beta 107.86
_cell_angle_gamma 90.00
_symmetry_space_group_name_H-M 'P 1'
_symmetry_Int_Tables_number 1
_symmetry_space_group_name_Hall 'P 1'
loop_
_atom_site_label
_atom_site_type_symbol
_atom_site_fract_x
_atom_site_fract_y
_atom_site_fract_z
_atom_site_occupancy
In1 In 0.599 0.599 0.199 1
Ba1 Ba 0.716 0.216 0.431 1
Ba2 Ba 0.284 0.784 0.569 1
In2 In 0.000 0.000 0.000 1
In3 In 0.401 0.401 0.801 1
Pd1 Pd 0.000 0.500 0.000 1
# - magnetic moment (μB per formula unit) = 0.0
# - calculated volume (Å³ per atom) = 33.971
# - energy (Ha/atom) = -0.1136